(1)
NaMnNiTe3 | PBE-GGA | optimized geometry

Unit cell a=8.3652 b=3.8590 c=9.9494 alpha=90.00 beta=113.12 gamma=90.00
With the nearest neighbours (Å) after each atom.
Atoms (fractional coordinates):
Na1 0.2435 0.2500 0.2187  6 Te 3.25-3.30
Na2 0.7565 0.7500 0.7813  6 Te 3.25-3.30
Mn1 0.2003 0.7500 0.6713  6 Te 2.67-2.76, 2 Ni 2.95
Mn2 0.7997 0.2500 0.3287  6 Te 2.67-2.76, 2 Ni 2.95
Ni1 0.4132 0.2500 0.8948  4 Te 2.51-2.56, 2 Ni 2.80
Ni2 0.5868 0.7500 0.1052  4 Te 2.51-2.56, 2 Ni 2.80
Te1 0.0488 0.7500 0.3702  3 Mn 2.75-2.76
Te2 0.2582 0.7500 0.9550  3 Ni 2.52-2.56, 1 Mn 2.67
Te3 0.4123 0.2500 0.6425  1 Ni 2.51, 2 Mn 2.71
Te4 0.5877 0.7500 0.3575  1 Ni 2.51, 2 Mn 2.71
Te5 0.7418 0.2500 0.0450  3 Ni 2.52-2.56, 1 Mn 2.67
Te6 0.9512 0.2500 0.6298  3 Mn 2.75-2.76

E_form (uncorrected) ... -0.348 eV/atom



(2)
Ba2Pr4Pb3O2 | PBE-GGA | optimized geometry

Unit cell a=14.1565 b=14.1565 c=14.1565 alpha=159.52 beta=159.52 gamma=29.12
With the nearest neighbours (Å) after each atom.
Atoms (fractional coordinates):
Ba1 0.1964 0.1964 0.0000  1 O 2.89
Ba2 0.8036 0.8036 0.0000  1 O 2.89
Pr1 0.0819 0.5819 0.5000  2 O 2.53
Pr2 0.4181 0.9181 0.5000  2 O 2.53
Pr3 0.5819 0.0819 0.5000  2 O 2.53
Pr4 0.9181 0.4181 0.5000  2 O 2.53
Pb1 0.3348 0.3348 0.0000  4 Pr 3.40, 5 Ba 3.66-3.79
Pb2 0.5000 0.5000 0.0000  8 Pr 3.37
Pb3 0.6652 0.6652 0.0000  4 Pr 3.40, 5 Ba 3.66-3.79
O1 0.0912 0.0912 0.0000  4 Pr 2.53
O2 0.9088 0.9088 0.0000  4 Pr 2.53

E_form (uncorrected) ... -1.360 eV/atom



(3)
LiZrRu | PBE-GGA | optimized geometry

Unit cell a=4.3409 b=4.3409 c=4.3409 alpha=60.00 beta=60.00 gamma=60.00
With the nearest neighbours (Å) after each atom.
Atoms (fractional coordinates):
Li1 0.0000 0.0000 0.0000  4 Ru 2.66
Zr1 0.5000 0.5000 0.5000  4 Ru 2.66
Ru1 0.2500 0.2500 0.2500  4 Zr 2.66, 4 Li 2.66

Formation enthalpy at 0 K ... 0.234 eV per atom



What did the first record say?
NaMnNiTe3 | PBE-GGA | optimized geometry

Unit cell a=8.3652 b=3.8590 c=9.9494 alpha=90.00 beta=113.12 gamma=90.00
With the nearest neighbours (Å) after each atom.
Atoms (fractional coordinates):
Na1 0.2435 0.2500 0.2187  6 Te 3.25-3.30
Na2 0.7565 0.7500 0.7813  6 Te 3.25-3.30
Mn1 0.2003 0.7500 0.6713  6 Te 2.67-2.76, 2 Ni 2.95
Mn2 0.7997 0.2500 0.3287  6 Te 2.67-2.76, 2 Ni 2.95
Ni1 0.4132 0.2500 0.8948  4 Te 2.51-2.56, 2 Ni 2.80
Ni2 0.5868 0.7500 0.1052  4 Te 2.51-2.56, 2 Ni 2.80
Te1 0.0488 0.7500 0.3702  3 Mn 2.75-2.76
Te2 0.2582 0.7500 0.9550  3 Ni 2.52-2.56, 1 Mn 2.67
Te3 0.4123 0.2500 0.6425  1 Ni 2.51, 2 Mn 2.71
Te4 0.5877 0.7500 0.3575  1 Ni 2.51, 2 Mn 2.71
Te5 0.7418 0.2500 0.0450  3 Ni 2.52-2.56, 1 Mn 2.67
Te6 0.9512 0.2500 0.6298  3 Mn 2.75-2.76

E_form (uncorrected) ... -0.348 eV/atom